1.
Entry from the Alexandria database: a geometry-optimized Ba3CeTh2As6 structure (PBE-GGA).

a b c (Å): 7.674 13.290 7.950
angles (deg): 90.00 108.76 90.00
Space group C2/m (No. 12)
Inequivalent atoms, fractional coordinates:
Ba 0.000 0.000 0.000 x2
Ba 0.000 0.333 0.000 x4
Ce 0.000 0.500 0.500 x2
Th 0.000 0.167 0.500 x4
As 0.235 0.335 0.710 x8
As 0.239 0.000 0.710 x4

Output
Formation energy from the elements: -1299 meV per atom
Total DFT energy (no corrections): -0.4289 Ry/atom



2.
Entry from the Alexandria database: a geometry-optimized Tb6PmEr2Tm structure (PBE-GGA).

a b c (Å): 9.099 15.007 9.491
angles (deg): 90.00 96.79 90.00
Space group C2/c (No. 15)
Inequivalent atoms, fractional coordinates:
Tb 0.062 0.184 0.444 x8
Tb 0.099 0.391 0.618 x8
Tb 0.211 0.225 0.816 x8
Pm 0.000 0.026 0.750 x4
Er 0.247 0.448 0.953 x8
Tm 0.000 0.410 0.250 x4

Output
Formation energy from the elements: 119 meV per atom
Total DFT energy (no corrections): -0.3303 Ry/atom



3.
Entry from the Alexandria database: a geometry-optimized BaY2 structure (PBE-GGA).

a b c (Å): 3.787 3.787 16.489
angles (deg): 90.00 90.00 90.00
Space group I4/mmm (No. 139)
Inequivalent atoms, fractional coordinates:
Ba 0.000 0.000 0.000 x2
Y 0.000 0.000 0.319 x4

Output
Energy above the lowest structure with this stoichiometry: 0.026 eV/atom
Formation energy from the elements: 186 meV per atom
Total DFT energy (no corrections): -0.3501 Ry/atom



4.
Entry from the Alexandria database: a geometry-optimized LiAcAl2 structure (PBE-GGA).

a b c (Å): 7.399 7.399 7.399
angles (deg): 90.00 90.00 90.00
Space group Fm-3m (No. 225)
Inequivalent atoms, fractional coordinates:
Li 0.000 0.000 0.000 x4
Ac 0.000 0.000 0.500 x4
Al 0.250 0.250 0.250 x8

Output
Energy above the lowest structure with this stoichiometry: 0.201 eV/atom
Formation energy from the elements: -82 meV per atom
Total DFT energy (no corrections): -0.2542 Ry/atom



5.
Entry from the Alexandria database: a geometry-optimized NbH2Ir structure (PBE-GGA).

a b c (Å): 5.421 5.421 5.421
angles (deg): 90.00 90.00 90.00
Space group Fm-3m (No. 225)
Inequivalent atoms, fractional coordinates:
Nb 0.000 0.000 0.000 x4
H 0.250 0.250 0.250 x8
Ir 0.000 0.000 0.500 x4

Output
Energy above the lowest structure with this stoichiometry: 0.426 eV/atom
Total DFT energy (no corrections): -0.4418 Ry/atom



6.
Entry from the Alexandria database: a geometry-optimized La2MnP3Rh12 structure (PBE-GGA).

a b c (Å): 8.5212 8.5212 14.9686
angles (deg): 90.00 90.00 120.00
Space group R-3m (No. 166, hexagonal axes)
Inequivalent atoms, fractional coordinates:
La 0.0000 0.0000 0.1101 x6
Mn 0.0000 0.0000 0.5000 x3
P 0.0000 0.5000 0.0000 x9
Rh 0.0060 0.5030 0.8530 x18
Rh 0.0553 0.5277 0.3582 x18

Output
Formation energy from the elements: -252 meV per atom
Total DFT energy (no corrections): -0.5227 Ry/atom



7.
Entry from the Alexandria database: a geometry-optimized NaIrW3 structure (PBE-GGA).

a b c (Å): 4.417 4.417 4.417
angles (deg): 90.00 90.00 90.00
Space group Pm-3m (No. 221)
Inequivalent atoms, fractional coordinates:
Na 0.000 0.000 0.000 x1
Ir 0.500 0.500 0.500 x1
W 0.000 0.000 0.500 x3

Output
Energy above the lowest structure with this stoichiometry: 0.986 eV/atom
Formation energy from the elements: 2907 meV per atom
Total DFT energy (no corrections): -0.5072 Ry/atom



8.
Entry from the Alexandria database: a geometry-optimized CoAgP2 structure (PBE-GGA).

a b c (Å): 3.0249 3.0249 21.7539
angles (deg): 90.00 90.00 120.00
Space group R3m (No. 160, hexagonal axes)
Inequivalent atoms, fractional coordinates:
Co 0.0000 0.0000 0.0000 x3
Ag 0.0000 0.0000 0.2329 x3
P 0.0000 0.0000 0.4712 x3
P 0.0000 0.0000 0.7307 x3

Output
Energy above the lowest structure with this stoichiometry: 0.199 eV/atom
Formation energy from the elements: 237 meV per atom
Total DFT energy (no corrections): -0.3644 Ry/atom



9.
Entry from the Alexandria database: a geometry-optimized Na2YTiN structure (PBE-GGA).

a b c (Å): 5.916 5.916 3.787
angles (deg): 90.00 90.00 90.00
Space group P4/mmm (No. 123)
Inequivalent atoms, fractional coordinates:
Na 0.000 0.500 0.000 x2
Y 0.000 0.000 0.500 x1
Ti 0.500 0.500 0.000 x1
N 0.500 0.500 0.500 x1

Output
Energy above the lowest structure with this stoichiometry: 0.000 eV/atom
Total DFT energy (no corrections): -0.3379 Ry/atom
Formation energy from raw total energies: 0.468 eV/atom



10.
Entry from the Alexandria database: a geometry-optimized Sr2GaO3 structure (PBE-GGA).

a b c (Å): 3.488 18.312 6.090
angles (deg): 90.00 90.00 90.00
Space group Cmcm (No. 63)
Inequivalent atoms, fractional coordinates:
Sr 0.000 0.027 0.250 x4
Sr 0.000 0.165 0.750 x4
Ga 0.000 0.333 0.750 x4
O 0.000 0.219 0.250 x4
O 0.000 0.411 0.505 x8

Output
Total DFT energy (no corrections): -0.4091 Ry/atom
Formation energy from raw total energies: -2.021 eV/atom



11.
Entry from the Alexandria database: a geometry-optimized CaFeP2 structure (PBE-GGA).

a b c (Å): 5.692 6.804 3.515
angles (deg): 90.00 90.48 90.00
Space group C2/m (No. 12)
Inequivalent atoms, fractional coordinates:
Ca 0.000 0.000 0.000 x2
Fe 0.000 0.500 0.000 x2
P 0.250 0.250 0.500 x4

Output
Energy above the lowest structure with this stoichiometry: 0.624 eV/atom
Formation energy from the elements: -17 meV per atom
Total DFT energy (no corrections): -0.3923 Ry/atom



12.
Entry from the Alexandria database: a geometry-optimized ThZr2PaAs4 structure (PBE-GGA).

a b c (Å): 6.877 4.061 7.016
angles (deg): 90.00 109.96 90.00
Space group P2/m (No. 10)
Inequivalent atoms, fractional coordinates:
Th 0.000 0.000 0.000 x1
Zr 0.500 0.000 0.500 x1
Zr 0.500 0.500 0.000 x1
Pa 0.000 0.500 0.500 x1
As 0.266 0.000 0.750 x2
As 0.270 0.500 0.262 x2

Output
Formation energy from the elements: -1167 meV per atom
Total DFT energy (no corrections): -0.5691 Ry/atom



- What is the total DFT energy (no corrections) in the seventh record?
  -0.5072 Ry/atom



Please write out number 6 again, unchanged.
Entry from the Alexandria database: a geometry-optimized La2MnP3Rh12 structure (PBE-GGA).

a b c (Å): 8.5212 8.5212 14.9686
angles (deg): 90.00 90.00 120.00
Space group R-3m (No. 166, hexagonal axes)
Inequivalent atoms, fractional coordinates:
La 0.0000 0.0000 0.1101 x6
Mn 0.0000 0.0000 0.5000 x3
P 0.0000 0.5000 0.0000 x9
Rh 0.0060 0.5030 0.8530 x18
Rh 0.0553 0.5277 0.3582 x18

Output
Formation energy from the elements: -252 meV per atom
Total DFT energy (no corrections): -0.5227 Ry/atom



- What is the total DFT energy (no corrections) in the eighth record?
  -0.3644 Ry/atom



- Which of these has the highest total DFT energy (no corrections)?
  LiAcAl2